Entry 1:
12
Lattice="6.078 0.000 0.000 0.000 3.513 0.000 -1.805 0.000 7.960" Properties=species:S:1:pos:R:3 comment="CaPuNiN3 | Alexandria | PBE-GGA | optimized geometry" raw_formation_energy_ev_per_atom=-0.692 spacegroup="P2_1/m, No. 11" pbc="T T T"
Ca 0.564 0.878 1.567
Ca 3.709 2.635 6.393
Pu 0.710 0.878 6.594
Pu 3.563 2.635 1.366
Ni -0.130 2.635 4.420
Ni 4.403 0.878 3.539
N -0.978 0.878 5.234
N -0.110 2.635 7.941
N 1.403 2.635 5.582
N 2.870 0.878 2.378
N 4.383 0.878 0.018
N 5.251 2.635 2.726

---

Entry 2:
5
Lattice="3.878 0.000 0.000 0.000 3.878 0.000 0.000 0.000 4.477" Properties=species:S:1:pos:R:3 comment="CaReNiN2 | Alexandria | PBE-GGA | optimized geometry" raw_formation_energy_ev_per_atom=1.991 spacegroup="P4/mmm, No. 123" pbc="T T T"
Ca 0.000 0.000 0.000
Re 1.939 1.939 0.000
Ni 0.000 0.000 2.239
N 0.000 1.939 2.239
N 1.939 0.000 2.239

---

Entry 3:
5
Lattice="4.256 0.000 0.000 0.000 4.256 0.000 0.000 0.000 5.335" Properties=species:S:1:pos:R:3 comment="CaReNi2N | Alexandria | PBE-GGA | optimized geometry" raw_formation_energy_ev_per_atom=3.240 spacegroup="P4/mmm, No. 123" pbc="T T T"
Ca 0.000 0.000 0.000
Re 0.000 0.000 2.667
Ni 0.000 2.128 0.000
Ni 2.128 0.000 0.000
N 2.128 2.128 2.667

---

Entry 4:
5
Lattice="5.489 0.000 0.000 0.000 5.489 0.000 0.000 0.000 3.711" Properties=species:S:1:pos:R:3 comment="Ca2NiRhN | Alexandria | PBE-GGA | optimized geometry" raw_formation_energy_ev_per_atom=0.169 spacegroup="P4/mmm, No. 123" pbc="T T T"
Ca 0.000 2.744 0.000
Ca 2.744 0.000 0.000
Ni 0.000 0.000 1.856
Rh 2.744 2.744 0.000
N 2.744 2.744 1.856

---

Entry 5:
5
Lattice="5.022 0.000 0.000 0.000 5.022 0.000 0.000 0.000 3.491" Properties=species:S:1:pos:R:3 comment="Ca2NiRhN | Alexandria | PBE-GGA | optimized geometry" raw_formation_energy_ev_per_atom=-0.398 spacegroup="P4/mmm, No. 123" pbc="T T T"
Ca 0.000 2.511 0.000
Ca 2.511 0.000 0.000
Ni 0.000 0.000 1.745
Rh 2.511 2.511 1.745
N 0.000 0.000 0.000

---

Entry 6:
5
Lattice="4.943 0.000 0.000 0.000 4.943 0.000 0.000 0.000 3.791" Properties=species:S:1:pos:R:3 comment="Ca2NiRhN | Alexandria | PBE-GGA | optimized geometry" raw_formation_energy_ev_per_atom=-0.317 spacegroup="P4/mmm, No. 123" pbc="T T T"
Ca 0.000 2.472 0.000
Ca 2.472 0.000 0.000
Ni 0.000 0.000 1.895
Rh 2.472 2.472 1.895
N 2.472 2.472 0.000

---

Entry 7:
5
Lattice="4.912 0.000 0.000 0.000 4.912 0.000 0.000 0.000 3.778" Properties=species:S:1:pos:R:3 comment="Ca2NiRuN | Alexandria | PBE-GGA | optimized geometry" raw_formation_energy_ev_per_atom=-0.244 spacegroup="P4/mmm, No. 123" pbc="T T T"
Ca 0.000 2.456 0.000
Ca 2.456 0.000 0.000
Ni 0.000 0.000 1.889
Ru 2.456 2.456 1.889
N 2.456 2.456 0.000

---

Entry 8:
5
Lattice="4.951 0.000 0.000 0.000 4.951 0.000 0.000 0.000 3.572" Properties=species:S:1:pos:R:3 comment="Ca2NiSN | Alexandria | PBE-GGA | optimized geometry" raw_formation_energy_ev_per_atom=-1.127 spacegroup="P4/mmm, No. 123" pbc="T T T"
Ca 0.000 2.476 0.000
Ca 2.476 0.000 0.000
Ni 0.000 0.000 1.786
S 2.476 2.476 1.786
N 0.000 0.000 0.000

---

Entry 9:
5
Lattice="5.348 0.000 0.000 0.000 5.348 0.000 0.000 0.000 3.544" Properties=species:S:1:pos:R:3 comment="Ca2NiSbN | Alexandria | PBE-GGA | optimized geometry" raw_formation_energy_ev_per_atom=-0.698 spacegroup="P4/mmm, No. 123" pbc="T T T"
Ca 0.000 2.674 0.000
Ca 2.674 0.000 0.000
Ni 0.000 0.000 1.772
Sb 2.674 2.674 1.772
N 0.000 0.000 0.000

---

Entry 10:
5
Lattice="5.031 0.000 0.000 0.000 5.031 0.000 0.000 0.000 3.613" Properties=species:S:1:pos:R:3 comment="Ca2NiSeN | Alexandria | PBE-GGA | optimized geometry" raw_formation_energy_ev_per_atom=-1.102 spacegroup="P4/mmm, No. 123" pbc="T T T"
Ca 0.000 2.516 0.000
Ca 2.516 0.000 0.000
Ni 0.000 0.000 1.807
Se 2.516 2.516 1.807
N 0.000 0.000 0.000

---

Entry 11:
5
Lattice="5.397 0.000 0.000 0.000 5.397 0.000 0.000 0.000 4.248" Properties=species:S:1:pos:R:3 comment="CaNiSe2N | Alexandria | PBE-GGA | optimized geometry" raw_formation_energy_ev_per_atom=1.217 spacegroup="P4/mmm, No. 123" pbc="T T T"
Ca 0.000 0.000 0.000
Ni 2.699 2.699 2.124
Se 0.000 2.699 0.000
Se 2.699 0.000 0.000
N 0.000 0.000 2.124

---

Entry 12:
5
Lattice="5.123 0.000 0.000 0.000 5.123 0.000 0.000 0.000 3.493" Properties=species:S:1:pos:R:3 comment="CaNiSe2N | Alexandria | PBE-GGA | optimized geometry" raw_formation_energy_ev_per_atom=-0.294 spacegroup="P4/mmm, No. 123" pbc="T T T"
Ca 0.000 0.000 0.000
Ni 2.561 2.561 1.747
Se 0.000 2.561 1.747
Se 2.561 0.000 1.747
N 2.561 2.561 0.000